{
  "formula": "FeTcTe2F",
  "functional": "PBE with a Hubbard U",
  "state": "optimized geometry",
  "lattice": [[-3.403, -2.806, 2.909], [2.116, -3.008, -0.426], [2.686, 1.271, 4.368]],
  "species": ["Fe", "Tc", "Te", "F", "Te"],
  "frac_coords": [[0.000, 0.000, 0.000], [0.500, 0.500, 0.500], [0.500, 0.000, 0.000], [0.000, 0.500, 0.000], [0.000, 0.000, 0.500]],
  "space_group": "No. 123",
  "crystal_system": "tetragonal",
  "vol_a3_per_atom": 20.7,
  "dft_energy_ev_per_cell": -23.01,
  "m_tot_mub_per_atom": 0.822
}